[1]
Computed, not measured: a geometry-optimized LiCdBr2 structure at the GGA-PBE level of DFT.

## Properties
E above lowest polymorph: 110 meV/atom
crystal system: monoclinic
spin magnetization: 0.0 Bohr magnetons per cell
formation energy from raw total energies: -3.0 eV per formula unit

a b c (Å): 3.8149 4.1656 7.0018
angles (deg): 86.27 90.00 90.00
Last column: nearest neighbours and their distance in Å.
Atoms (fractional coordinates):
Li1 0.5000 0.7500 0.7500  4 Br 2.63
Br1 0.0000 0.6037 0.5112  2 Li 2.63
Br2 0.0000 0.8963 0.9888  2 Li 2.63
Cd1 0.5000 0.2500 0.2500  4 Br 3.08


[2]
Computed, not measured: a geometry-optimized Ba12Sr3Mg5 structure at the GGA-PBE level of DFT.

## Properties
crystal system: cubic
final energy: -1.411 eV per atom
spin magnetization: 0.0 Bohr magnetons per cell

a b c (Å): 19.1674 19.1674 19.1674
angles (deg): 109.47 109.47 109.47
Last column: nearest neighbours and their distance in Å.
Atoms (fractional coordinates):
Sr1 0.3750 0.7500 0.6250  8 Ba 4.19-4.39
Sr2 0.3750 0.6250 0.2500  8 Ba 4.19-4.39
Sr3 0.1250 0.2500 0.8750  8 Ba 4.19-4.39
Sr4 0.6250 0.2500 0.3750  8 Ba 4.19-4.39
Sr5 0.2500 0.6250 0.8750  8 Ba 4.19-4.39
Sr6 0.7500 0.3750 0.1250  8 Ba 4.19-4.39
Sr7 0.8750 0.1250 0.2500  8 Ba 4.19-4.39
Sr8 0.1250 0.8750 0.7500  8 Ba 4.19-4.39
Sr9 0.2500 0.1250 0.3750  8 Ba 4.19-4.39
Sr10 0.7500 0.8750 0.6250  8 Ba 4.19-4.39
Sr11 0.6250 0.3750 0.7500  8 Ba 4.19-4.39
Sr12 0.8750 0.7500 0.1250  8 Ba 4.19-4.39
Ba1 0.6138 0.0350 0.2068  2 Mg 3.49-3.52
Ba2 0.8862 0.5930 0.9212  2 Mg 3.49-3.52
Ba3 0.0788 0.9070 0.1138  2 Mg 3.49-3.52
Ba4 0.5930 0.8862 0.4212  2 Mg 3.49-3.52
Ba5 0.4212 0.0350 0.3282  2 Mg 3.49-3.52
Ba6 0.5930 0.7068 0.6718  2 Mg 3.49-3.52
Ba7 0.2068 0.6718 0.0930  2 Mg 3.49-3.52
Ba8 0.1718 0.0788 0.9650  2 Mg 3.49-3.52
Ba9 0.9212 0.0930 0.8862  2 Mg 3.49-3.52
Ba10 0.2932 0.4070 0.8282  2 Mg 3.49-3.52
Ba11 0.4070 0.1138 0.5788  2 Mg 3.49-3.52
Ba12 0.3862 0.9650 0.7932  2 Mg 3.49-3.52
Ba13 0.1138 0.7068 0.5350  2 Mg 3.49-3.52
Ba14 0.9070 0.8282 0.7932  2 Mg 3.49-3.52
Ba15 0.5788 0.9650 0.6718  2 Mg 3.49-3.52
Ba16 0.5350 0.2068 0.1138  2 Mg 3.49-3.52
Ba17 0.1138 0.4070 0.0788  2 Mg 3.49-3.52
Ba18 0.7068 0.5930 0.1718  2 Mg 3.49-3.52
Ba19 0.2932 0.8862 0.9650  2 Mg 3.49-3.52
Ba20 0.6718 0.4650 0.5788  2 Mg 3.49-3.52
Ba21 0.6718 0.2068 0.5930  2 Mg 3.49-3.52
Ba22 0.4212 0.3862 0.5930  2 Mg 3.49-3.52
Ba23 0.0350 0.6138 0.7068  2 Mg 3.49-3.52
Ba24 0.8282 0.9212 0.0350  2 Mg 3.49-3.52
Ba25 0.7068 0.1138 0.0350  2 Mg 3.49-3.52
Ba26 0.0788 0.1718 0.4650  2 Mg 3.49-3.52
Ba27 0.4070 0.2932 0.3282  2 Mg 3.49-3.52
Ba28 0.9650 0.3862 0.2932  2 Mg 3.49-3.52
Ba29 0.4650 0.7932 0.8862  2 Mg 3.49-3.52
Ba30 0.3282 0.5350 0.4212  2 Mg 3.49-3.52
Ba31 0.5788 0.6138 0.4070  2 Mg 3.49-3.52
Ba32 0.9070 0.0788 0.6138  2 Mg 3.49-3.52
Ba33 0.7932 0.4650 0.3862  2 Mg 3.49-3.52
Ba34 0.0930 0.9212 0.3862  2 Mg 3.49-3.52
Ba35 0.2068 0.5350 0.6138  2 Mg 3.49-3.52
Ba36 0.6138 0.5788 0.9070  2 Mg 3.49-3.52
Ba37 0.3862 0.4212 0.0930  2 Mg 3.49-3.52
Ba38 0.7932 0.3282 0.9070  2 Mg 3.49-3.52
Ba39 0.5350 0.3282 0.9212  2 Mg 3.49-3.52
Ba40 0.3282 0.7932 0.4070  2 Mg 3.49-3.52
Ba41 0.0350 0.4212 0.8282  2 Mg 3.49-3.52
Ba42 0.8282 0.9070 0.2932  2 Mg 3.49-3.52
Ba43 0.0930 0.1718 0.2068  2 Mg 3.49-3.52
Ba44 0.9650 0.5788 0.1718  2 Mg 3.49-3.52
Ba45 0.9212 0.8282 0.5350  2 Mg 3.49-3.52
Ba46 0.1718 0.0930 0.7068  2 Mg 3.49-3.52
Ba47 0.4650 0.6718 0.0788  2 Mg 3.49-3.52
Ba48 0.8862 0.2932 0.4650  2 Mg 3.49-3.52
Mg1 0.2500 0.3750 0.6250  4 Ba 3.49
Mg2 0.5000 0.0000 0.5000  6 Ba 3.52
Mg3 0.0000 0.5000 0.5000  6 Ba 3.52
Mg4 0.6250 0.8750 0.2500  4 Ba 3.49
Mg5 0.3750 0.1250 0.7500  4 Ba 3.49
Mg6 0.3750 0.2500 0.1250  4 Ba 3.49
Mg7 0.6250 0.7500 0.8750  4 Ba 3.49
Mg8 0.0000 0.5000 0.0000  6 Ba 3.52
Mg9 0.5000 0.5000 0.0000  6 Ba 3.52
Mg10 0.0000 0.0000 0.0000  6 Ba 3.52
Mg11 0.8750 0.2500 0.6250  4 Ba 3.49
Mg12 0.8750 0.6250 0.7500  4 Ba 3.49
Mg13 0.5000 0.5000 0.5000  6 Ba 3.52
Mg14 0.2500 0.8750 0.1250  4 Ba 3.49
Mg15 0.7500 0.1250 0.8750  4 Ba 3.49
Mg16 0.0000 0.0000 0.5000  6 Ba 3.52
Mg17 0.1250 0.7500 0.3750  4 Ba 3.49
Mg18 0.5000 0.0000 0.0000  6 Ba 3.52
Mg19 0.1250 0.3750 0.2500  4 Ba 3.49
Mg20 0.7500 0.6250 0.3750  4 Ba 3.49


[3]
Computed, not measured: a geometry-optimized LaCr2Fe structure at the GGA-PBE level of DFT.

## Properties
E above lowest polymorph: 229 meV/atom
crystal system: orthorhombic
spin magnetization: 1.8 Bohr magnetons per cell

a b c (Å): 5.6209 5.6209 5.6209
angles (deg): 140.97 135.46 60.69
Last column: nearest neighbours and their distance in Å.
Atoms (fractional coordinates):
Cr1 0.9753 0.9753 0.0000  2 Cr 2.43
Cr2 0.3553 0.8553 0.5000  2 Fe 2.16
La1 0.7038 0.2038 0.5000  4 Fe 2.98-3.32, 8 Cr 3.07-3.23
Fe1 0.4657 0.4657 0.0000  2 Cr 2.16


[4]
Computed, not measured: a geometry-optimized EuThNiAu structure at the GGA-PBE level of DFT.

## Properties
crystal system: cubic
final energy: -7.055 eV per atom
spin magnetization: 7.0 Bohr magnetons per cell

a b c (Å): 5.1249 5.1249 5.1249
angles (deg): 60.00 60.00 60.00
Last column: nearest neighbours and their distance in Å.
Atoms (fractional coordinates):
Th1 0.5000 0.5000 0.5000  4 Ni 3.14, 4 Au 3.14
Au1 0.2500 0.2500 0.2500  4 Th 3.14, 4 Eu 3.14
Ni1 0.7500 0.7500 0.7500  4 Th 3.14, 4 Eu 3.14
Eu1 0.0000 0.0000 0.0000  4 Au 3.14, 4 Ni 3.14